A plane-wave DFT calculation with PBE was carried out for an optimized crystal structure of SmEr2Ga9.

Results
DFT formation energy: -0.527 eV per atom

a b c (Å): 4.2800 4.2800 12.8252
angles (deg): 90.00 90.00 90.00
Space group P4/mmm (No. 123)
One atom of each set of equivalent atoms:
Sm 0.0000 0.0000 0.0000 x1
Er 0.0000 0.0000 0.3354 x2
Ga 0.0000 0.5000 0.1708 x4
Ga 0.0000 0.5000 0.5000 x2
Ga 0.5000 0.5000 0.0000 x1
Ga 0.5000 0.5000 0.3337 x2